Entry 1:
Density functional theory data (GGA-PBE) for an optimized crystal structure of Pa3C2.

Cell: 3.4821 3.4821 8.8853 Å, 78.70 78.70 60.00°
Sites, in units of the cell vectors:
Pa 0.0000 0.0000 0.0000
Pa 0.7788 0.7788 0.6637
Pa 0.2212 0.2212 0.3363
C 0.3948 0.3948 0.8155
C 0.6052 0.6052 0.1845

Computed properties:
- D(E_F) (states/eV/f.u.) = 5.23
- crystal system = trigonal
- formation energy (meV/atom) = -328

---

Entry 2:
Density functional theory data (GGA-PBE) for an optimized crystal structure of Pa3C.

Cell: 3.2033 5.7950 5.4662 Å, 122.01 107.04 90.00°
Sites, in units of the cell vectors:
C 0.0000 0.0602 0.0000
Pa 0.3171 0.6786 0.6342
Pa 0.5000 0.3835 0.0000
Pa 0.6829 0.0444 0.3658

Computed properties:
- D(E_F) (states/eV/f.u.) = 5.18
- crystal system = orthorhombic
- formation energy (meV/atom) = 25

---

Entry 3:
Density functional theory data (GGA-PBE) for an optimized crystal structure of PaC2.

Cell: 3.8194 3.8194 6.3889 Å, 78.34 78.34 64.54°
Sites, in units of the cell vectors:
Pa 0.2002 0.7998 0.7500
Pa 0.7998 0.2002 0.2500
C 0.4223 0.1816 0.9443
C 0.8184 0.5777 0.5557
C 0.5777 0.8184 0.0557
C 0.1816 0.4223 0.4443

Computed properties:
- D(E_F) (states/eV/f.u.) = 2.24
- crystal system = monoclinic
- formation energy (meV/atom) = -273

---

Entry 4:
Density functional theory data (GGA-PBE) for an optimized crystal structure of PaPbC.

Cell: 4.1108 4.1107 8.0892 Å, 90.00 90.00 90.00°
Sites, in units of the cell vectors:
Pa 0.2500 0.7500 0.3687
Pa 0.7500 0.2500 0.6313
Pb 0.2500 0.7500 0.9092
Pb 0.7500 0.2500 0.0908
C 0.7500 0.7500 0.5000
C 0.2500 0.2500 0.5000

Computed properties:
- D(E_F) (states/eV/f.u.) = 1.08
- crystal system = tetragonal
- formation energy (meV/atom) = -207

---

Entry 5:
Density functional theory data (GGA-PBE) for an optimized crystal structure of Pa2PbC.

Cell: 3.4009 3.4009 8.9391 Å, 79.03 79.03 60.00°
Sites, in units of the cell vectors:
Pa 0.0569 0.0569 0.8292
Pa 0.2767 0.2767 0.1700
Pb 0.5003 0.5003 0.4991
C 0.6661 0.6661 0.0017

Computed properties:
- D(E_F) (states/eV/f.u.) = 5.59
- crystal system = trigonal
- formation energy (meV/atom) = -292

---

Entry 6:
Density functional theory data (GGA-PBE) for an optimized crystal structure of Pa2PbC.

Cell: 3.3953 3.3953 8.9158 Å, 79.02 79.02 60.00°
Sites, in units of the cell vectors:
Pb 0.5000 0.5000 0.5000
C 0.0000 0.0000 0.0000
Pa 0.2762 0.2762 0.1714
Pa 0.7238 0.7238 0.8286

Computed properties:
- D(E_F) (states/eV/f.u.) = 3.56
- crystal system = trigonal
- formation energy (meV/atom) = -316

---

Entry 7:
Density functional theory data (GGA-PBE) for an optimized crystal structure of Pa4Pb2C.

Cell: 4.7471 4.7471 8.7822 Å, 74.32 74.32 90.00°
Sites, in units of the cell vectors:
Pb 0.6506 0.6506 0.6989
Pb 0.3494 0.3494 0.3011
C 0.0000 0.0000 0.0000
Pa 0.8522 0.8522 0.2956
Pa 0.1478 0.1478 0.7044
Pa 0.0000 0.5000 0.0000
Pa 0.5000 0.0000 0.0000

Computed properties:
- D(E_F) (states/eV/f.u.) = 10.40
- crystal system = tetragonal
- formation energy (meV/atom) = -45

---

Entry 8:
Density functional theory data (GGA-PBE) for an optimized crystal structure of Pa3PbC.

Cell: 4.8368 4.8368 4.8368 Å, 90.00 90.00 90.00°
Sites, in units of the cell vectors:
Pb 0.5000 0.5000 0.5000
C 0.0000 0.0000 0.0000
Pa 0.0000 0.5000 0.0000
Pa 0.0000 0.0000 0.5000
Pa 0.5000 0.0000 0.0000

Computed properties:
- D(E_F) (states/eV/f.u.) = 6.61
- crystal system = cubic
- formation energy (meV/atom) = -212

---

Entry 9:
Density functional theory data (GGA-PBE) for an optimized crystal structure of Pa2PbC.

Cell: 3.1907 3.1907 8.0068 Å, 90.00 90.00 90.00°
Site moments in Bohr magnetons follow the coordinates.
Sites, in units of the cell vectors:
Pb 0.5000 0.5000 0.5000  -0.01
C 0.5000 0.5000 0.0000  -0.01
Pa 0.0000 0.0000 0.8250  0.46
Pa 0.0000 0.0000 0.1750  0.46

Computed properties:
- D(E_F) (states/eV/f.u.) = 5.96
- crystal system = tetragonal
- formation energy (meV/atom) = 103

---

Entry 10:
Density functional theory data (GGA-PBE) for an optimized crystal structure of ThPaPbC.

Cell: 3.5495 3.5511 8.8796 Å, 90.00 101.53 120.01°
Sites, in units of the cell vectors:
Th 0.5204 0.1581 0.6946
Pa 0.0816 0.9386 0.0367
Pb 0.9666 0.3817 0.3606
C 0.3093 0.5525 0.8778

Computed properties:
- D(E_F) (states/eV/f.u.) = 3.93
- crystal system = monoclinic
- formation energy (meV/atom) = -307

---

Entry 11:
Density functional theory data (GGA-PBE) for an optimized crystal structure of TmPaPbC.

Cell: 3.4766 3.4766 8.9875 Å, 78.85 78.85 60.00°
Sites, in units of the cell vectors:
Tm 0.4315 0.4315 0.7056
Pa 0.9929 0.9929 0.0214
Pb 0.8687 0.8687 0.3940
C 0.7112 0.7112 0.8663

Computed properties:
- D(E_F) (states/eV/f.u.) = 3.43
- crystal system = trigonal
- formation energy (meV/atom) = -294

---

Entry 12:
Density functional theory data (GGA-PBE) for an optimized crystal structure of PmPaC.

Cell: 3.2945 3.2945 7.0868 Å, 103.44 103.44 90.00°
Sites, in units of the cell vectors:
C 0.1640 0.1640 0.3281
Pa 0.7049 0.7049 0.4097
Pm 0.9811 0.9811 0.9622

Computed properties:
- D(E_F) (states/eV/f.u.) = 3.84
- crystal system = tetragonal
- formation energy (meV/atom) = 103

---

Entry 13:
Density functional theory data (GGA-PBE) for an optimized crystal structure of PmPa2C2.

Cell: 3.5151 3.5151 9.0305 Å, 90.00 90.00 120.00°
Sites, in units of the cell vectors:
Pm 0.0000 0.0000 0.5000
Pa 0.3333 0.6667 0.8311
Pa 0.6667 0.3333 0.1689
C 0.6667 0.3333 0.6927
C 0.3333 0.6667 0.3073

Computed properties:
- D(E_F) (states/eV/f.u.) = 7.53
- crystal system = trigonal
- formation energy (meV/atom) = -180

---

Entry 14:
Density functional theory data (GGA-PBE) for an optimized crystal structure of PmPaC2.

Cell: 3.6033 3.6030 6.2127 Å, 90.06 90.00 120.00°
Sites, in units of the cell vectors:
Pm 0.0000 0.5000 0.5000
Pa 0.0000 0.5000 0.0000
C 0.6667 0.8335 0.7876
C 0.3333 0.1665 0.2124

Computed properties:
- D(E_F) (states/eV/f.u.) = 2.25
- crystal system = monoclinic
- formation energy (meV/atom) = 14

---

Entry 15:
Density functional theory data (GGA-PBE) for an optimized crystal structure of PmPaC.

Cell: 4.4136 4.4136 7.5408 Å, 72.98 72.98 60.00°
Sites, in units of the cell vectors:
C 0.2475 0.2475 0.2575
C 0.7525 0.7525 0.7425
Pm 0.3786 0.3786 0.8641
Pm 0.6214 0.6214 0.1359
Pa 0.8638 0.8638 0.4087
Pa 0.1362 0.1362 0.5913

Computed properties:
- D(E_F) (states/eV/f.u.) = 4.27
- crystal system = trigonal
- formation energy (meV/atom) = 297

---

Entry 16:
Density functional theory data (GGA-PBE) for an optimized crystal structure of PmPa5C6.

Cell: 6.2741 6.2670 6.2690 Å, 60.01 80.45 70.62°
Sites, in units of the cell vectors:
C 0.7376 0.0865 0.3545
C 0.2624 0.5590 0.3545
C 0.2540 0.2736 0.0000
C 0.7460 0.7264 0.0000
C 0.7376 0.4410 0.6455
C 0.2624 0.9135 0.6455
Pa 0.5000 0.1650 0.6699
Pa 0.0000 0.3326 0.3347
Pa 0.5000 0.5000 0.0000
Pa 0.0000 0.6674 0.6653
Pa 0.5000 0.8350 0.3301
Pm 0.0000 0.0000 0.0000

Computed properties:
- D(E_F) (states/eV/f.u.) = 9.78
- crystal system = monoclinic
- formation energy (meV/atom) = -396

---

Entry 17:
Density functional theory data (GGA-PBE) for an optimized crystal structure of PmPa2C3.

Cell: 6.8565 5.9712 5.9712 Å, 119.99 90.00 90.00°
Sites, in units of the cell vectors:
Pm 0.2500 0.5007 0.5007
Pm 0.7500 0.4993 0.4993
Pa 0.5000 0.8333 0.1667
Pa 0.0000 0.8333 0.1667
Pa 0.0000 0.1667 0.8333
Pa 0.5000 0.1667 0.8333
C 0.7500 0.5002 0.0023
C 0.7500 0.0023 0.5002
C 0.2500 0.4998 0.9977
C 0.7500 0.9985 0.9985
C 0.2500 0.0015 0.0015
C 0.2500 0.9977 0.4998

Computed properties:
- D(E_F) (states/eV/f.u.) = 3.56
- crystal system = orthorhombic
- formation energy (meV/atom) = -96

---

Entry 18:
Density functional theory data (GGA-PBE) for an optimized crystal structure of PmPaC2.

Cell: 3.6314 3.6314 6.4086 Å, 73.54 73.54 60.00°
Sites, in units of the cell vectors:
Pm 0.4980 0.4980 0.5060
Pa 0.6662 0.6662 0.0014
C 0.0728 0.0728 0.7815
C 0.2630 0.2630 0.2111

Computed properties:
- D(E_F) (states/eV/f.u.) = 0.78
- crystal system = trigonal
- formation energy (meV/atom) = -152

---

Entry 19:
Density functional theory data (GGA-PBE) for an optimized crystal structure of PmPa3C.

Cell: 4.8993 4.8993 4.8993 Å, 90.00 90.00 90.00°
Sites, in units of the cell vectors:
C 0.0000 0.0000 0.0000
Pa 0.0000 0.5000 0.0000
Pa 0.0000 0.0000 0.5000
Pa 0.5000 0.0000 0.0000
Pm 0.5000 0.5000 0.5000

Computed properties:
- D(E_F) (states/eV/f.u.) = 7.07
- crystal system = cubic
- formation energy (meV/atom) = -34

---

Entry 20:
Density functional theory data (GGA-PBE) for an optimized crystal structure of PmPa2C3.

Cell: 3.6470 5.1691 6.3023 Å, 114.21 106.82 90.00°
Sites, in units of the cell vectors:
Pm 0.5000 0.5000 0.5000
Pa 0.8337 0.8337 0.1675
Pa 0.1663 0.1663 0.8325
C 0.8133 0.3133 0.1266
C 0.1867 0.6867 0.8734
C 0.5000 0.0000 0.5000

Computed properties:
- D(E_F) (states/eV/f.u.) = 3.60
- crystal system = orthorhombic
- formation energy (meV/atom) = -339